Material: Ac2SbSe
Method: DFT, PBE
State: relaxed

offset from the most stable computed form = 0.3 kJ/mol of atoms
space group = Pmmn, No. 59
formation energy without anion corrections = -1.55 eV per atom

a = 4.6523 Å, b = 6.5788 Å, c = 9.2433 Å
α = 90.00°, β = 90.00°, γ = 90.00°
Closest atoms and distances in Å follow each position.
Atoms (fractional coordinates):
Ac: 0.0000 0.0000 0.8821  4 Se 3.22-3.29, 2 Sb 3.30
Ac: 0.0000 0.0000 0.3693  2 Se 3.26, 4 Sb 3.29-3.34
Ac: 0.5000 0.5000 0.6307  2 Se 3.26, 4 Sb 3.29-3.34
Ac: 0.5000 0.5000 0.1179  4 Se 3.22-3.29, 2 Sb 3.30
Sb: 0.5000 0.0000 0.6285  6 Ac 3.29-3.34
Sb: 0.0000 0.5000 0.3715  6 Ac 3.29-3.34
Se: 0.0000 0.5000 0.8774  6 Ac 3.22-3.29
Se: 0.5000 0.0000 0.1226  6 Ac 3.22-3.29